Hf3Ti2Sn3 PBE optimized geometry; formation energy from the elements = -176 meV/atom
1.0
2.0718 -5.8507 0.0000
2.0718 5.8507 0.0000
0.0000 0.0000 14.2211
Hf Ti Sn
6 4 6
Cartesian
2.0718 5.2330 8.7376 Hf
2.0718 5.2330 12.5941 Hf
2.0718 1.8971 10.6658 Hf
2.0718 -1.8971 3.5553 Hf
2.0718 -5.2330 1.6270 Hf
2.0718 -5.2330 5.4835 Hf
2.0718 3.1674 1.5109 Ti
2.0718 3.1674 5.5997 Ti
2.0718 -3.1674 8.6214 Ti
2.0718 -3.1674 12.7102 Ti
2.0718 1.3106 7.6468 Sn
2.0718 1.3106 13.6849 Sn
2.0718 1.2863 3.5553 Sn
2.0718 -1.2863 10.6658 Sn
2.0718 -1.3106 0.5362 Sn
2.0718 -1.3106 6.5743 Sn